1.
Material: ScPa2Se6
Method: DFT, PBE
State: optimized geometry

```
data_ScPa2Se6
_chemical_formula_sum 'Sc2 Pa4 Se12'
_space_group_name_H-M_alt 'C 1 2/m 1'
_space_group_IT_number 12
_cell_length_a 17.8290
_cell_length_b 4.1018
_cell_length_c 8.2836
_cell_angle_alpha 90.00
_cell_angle_beta 104.56
_cell_angle_gamma 90.00
loop_
_space_group_symop_operation_xyz
'x,y,z'
'-x,-y,-z'
'-x,y,-z'
'x,-y,z'
'x+1/2,y+1/2,z'
'-x+1/2,-y+1/2,-z'
'-x+1/2,y+1/2,-z'
'x+1/2,-y+1/2,z'
loop_
_atom_site_label
_atom_site_fract_x
_atom_site_fract_y
_atom_site_fract_z
Sc1 0.0000 0.0000 0.0000
Pa1 0.1613 0.5000 0.3215
Se1 0.0028 0.5000 0.2248
Se2 0.1586 0.0000 0.0875
Se3 0.1727 0.0000 0.5656
```

## Properties
Raw total energy in eV/f.u.: -59.05
Energy above the lowest structure with this stoichiometry in kJ per mole of atoms: 0.0
Formation energy without anion corrections in eV per atom: -1.42
Crystal system: monoclinic


2.
Material: ScPa2Se5
Method: DFT, PBE
State: optimized geometry

```
data_ScPa2Se5
_chemical_formula_sum 'Sc1 Pa2 Se5'
_space_group_name_H-M_alt 'P 4/m m m'
_space_group_IT_number 123
_space_group_name_Hall '-P 4 2'
_cell_length_a 6.8193
_cell_length_b 6.8193
_cell_length_c 4.5629
_cell_angle_alpha 90.00
_cell_angle_beta 90.00
_cell_angle_gamma 90.00
loop_
_atom_site_label
_atom_site_fract_x
_atom_site_fract_y
_atom_site_fract_z
Sc1 0.0000 0.0000 0.0000
Pa1 0.0000 0.5000 0.5000
Se1 0.0000 0.0000 0.5000
Se2 0.2735 0.2735 0.0000
```

## Properties
Raw total energy in eV/f.u.: -48.93
Energy above the lowest structure with this stoichiometry in kJ per mole of atoms: 57.2
Formation energy without anion corrections in eV per atom: -0.77
Crystal system: tetragonal


3.
Material: Sc2PaSe6
Method: DFT, PBE
State: optimized geometry

```
data_Sc2PaSe6
_chemical_formula_sum 'Sc4 Pa2 Se12'
_space_group_name_H-M_alt 'P 42/m n m'
_space_group_IT_number 136
_space_group_name_Hall '-P 4n 2n'
_cell_length_a 6.4873
_cell_length_b 6.4873
_cell_length_c 12.0226
_cell_angle_alpha 90.00
_cell_angle_beta 90.00
_cell_angle_gamma 90.00
loop_
_atom_site_label
_atom_site_fract_x
_atom_site_fract_y
_atom_site_fract_z
Sc1 0.0000 0.0000 0.1655
Pa1 0.0000 0.0000 0.5000
Se1 0.1973 0.1973 0.0000
Se2 0.2019 0.2019 0.3293
```

## Properties
Raw total energy in eV/f.u.: -54.94
Formation energy without anion corrections in eV per atom: -1.32
Crystal system: tetragonal


4.
Material: Sc2Pa3Se8
Method: DFT, PBE
State: optimized geometry

```
data_Sc2Pa3Se8
_chemical_formula_sum 'Sc4 Pa6 Se16'
_space_group_name_H-M_alt 'C 1 2/m 1'
_space_group_IT_number 12
_cell_length_a 14.2386
_cell_length_b 7.9535
_cell_length_c 6.6632
_cell_angle_alpha 90.00
_cell_angle_beta 107.26
_cell_angle_gamma 90.00
loop_
_space_group_symop_operation_xyz
'x,y,z'
'-x,-y,-z'
'-x,y,-z'
'x,-y,z'
'x+1/2,y+1/2,z'
'-x+1/2,-y+1/2,-z'
'-x+1/2,y+1/2,-z'
'x+1/2,-y+1/2,z'
loop_
_atom_site_label
_atom_site_fract_x
_atom_site_fract_y
_atom_site_fract_z
Sc1 0.2462 0.0000 0.3265
Pa1 0.0000 0.0000 0.5000
Pa2 0.0000 0.2461 0.0000
Se1 0.1100 0.5000 0.8782
Se2 0.1306 0.2487 0.4204
Se3 0.1345 0.0000 0.9209
```

## Properties
Raw total energy in eV/f.u.: -86.43
Formation energy without anion corrections in eV per atom: -1.34
Crystal system: monoclinic


5.
Material: Sc2PaSe3
Method: DFT, PBE
State: optimized geometry

```
data_Sc2PaSe3
_chemical_formula_sum 'Sc4 Pa2 Se6'
_space_group_name_H-M_alt 'P 63/m m c'
_space_group_IT_number 194
_space_group_name_Hall '-P 6c 2c'
_cell_length_a 3.8242
_cell_length_b 3.8242
_cell_length_c 20.4558
_cell_angle_alpha 90.00
_cell_angle_beta 90.00
_cell_angle_gamma 120.00
loop_
_atom_site_label
_atom_site_fract_x
_atom_site_fract_y
_atom_site_fract_z
Sc1 0.3333 0.6667 0.0834
Pa1 0.0000 0.0000 0.2500
Se1 0.0000 0.0000 0.0000
Se2 0.3333 0.6667 0.6564
```

## Properties
Raw total energy in eV/f.u.: -41.32
Formation energy without anion corrections in eV per atom: -1.45
Crystal system: hexagonal


6.
Material: Sc2Pa2Se5
Method: DFT, PBE
State: optimized geometry

```
data_Sc2Pa2Se5
_chemical_formula_sum 'Sc2 Pa2 Se5'
_space_group_name_H-M_alt 'P -3 m 1'
_space_group_IT_number 164
_space_group_name_Hall '-P 3 2"'
_cell_length_a 3.8959
_cell_length_b 3.8959
_cell_length_c 18.9723
_cell_angle_alpha 90.00
_cell_angle_beta 90.00
_cell_angle_gamma 120.00
loop_
_atom_site_label
_atom_site_fract_x
_atom_site_fract_y
_atom_site_fract_z
Sc1 0.3333 0.6667 0.0843
Pa1 0.3333 0.6667 0.6858
Se1 0.0000 0.0000 0.0000
Se2 0.3333 0.6667 0.4038
Se3 0.3333 0.6667 0.8370
```

## Properties
Raw total energy in eV/f.u.: -59.59
Formation energy without anion corrections in eV per atom: -1.17
Crystal system: trigonal


7.
Material: Sc3PaSe6
Method: DFT, PBE
State: optimized geometry

```
data_Sc3PaSe6
_chemical_formula_sum 'Sc6 Pa2 Se12'
_space_group_name_H-M_alt 'P 1 21/m 1'
_space_group_IT_number 11
_cell_length_a 11.1682
_cell_length_b 3.9017
_cell_length_c 11.3682
_cell_angle_alpha 90.00
_cell_angle_beta 108.94
_cell_angle_gamma 90.00
loop_
_space_group_symop_operation_xyz
'x,y,z'
'-x,-y,-z'
'-x,y+1/2,-z'
'x,-y+1/2,z'
loop_
_atom_site_label
_atom_site_fract_x
_atom_site_fract_y
_atom_site_fract_z
Sc1 0.0624 0.2500 0.1602
Sc2 0.1768 0.7500 0.4997
Sc3 0.3443 0.2500 0.9167
Pa1 0.4507 0.2500 0.2988
Se1 0.0202 0.2500 0.3824
Se2 0.1093 0.2500 0.9387
Se3 0.2360 0.7500 0.2713
Se4 0.3005 0.7500 0.7478
Se5 0.3800 0.2500 0.5330
Se6 0.4161 0.7500 0.0922
```

## Properties
Raw total energy in eV/f.u.: -65.32
Formation energy without anion corrections in eV per atom: -1.59
Crystal system: monoclinic


8.
Material: TbSc2PaSe4
Method: DFT, PBE
State: optimized geometry

```
data_TbSc2PaSe4
_chemical_formula_sum 'Tb1 Sc2 Pa1 Se4'
_space_group_name_H-M_alt 'P 1 2/m 1'
_space_group_IT_number 10
_cell_length_a 6.8531
_cell_length_b 3.9209
_cell_length_c 6.9848
_cell_angle_alpha 90.00
_cell_angle_beta 108.69
_cell_angle_gamma 90.00
loop_
_space_group_symop_operation_xyz
'x,y,z'
'-x,-y,-z'
'-x,y,-z'
'x,-y,z'
loop_
_atom_site_label
_atom_site_fract_x
_atom_site_fract_y
_atom_site_fract_z
Tb1 0.0000 0.0000 0.0000
Sc1 0.0000 0.5000 0.5000
Sc2 0.5000 0.0000 0.5000
Pa1 0.5000 0.5000 0.0000
Se1 0.2425 0.0000 0.7303
Se2 0.2558 0.5000 0.2683
```

## Properties
Raw total energy in eV/f.u.: -52.86
Formation energy without anion corrections in eV per atom: -1.52
Crystal system: monoclinic


9.
Material: Sc3PaTl4Se8
Method: DFT, PBE
State: optimized geometry

```
data_Sc3PaTl4Se8
_chemical_formula_sum 'Sc9 Pa3 Tl12 Se24'
_space_group_name_H-M_alt 'R -3 m'
_space_group_IT_number 166
_space_group_name_Hall '-R 3 2"'
_cell_length_a 8.0081
_cell_length_b 8.0081
_cell_length_c 23.7129
_cell_angle_alpha 90.00
_cell_angle_beta 90.00
_cell_angle_gamma 120.00
loop_
_atom_site_label
_atom_site_fract_x
_atom_site_fract_y
_atom_site_fract_z
Sc1 0.0000 0.5000 0.0000
Pa1 0.0000 0.0000 0.0000
Tl1 0.0000 0.0000 0.5000
Tl2 0.0000 0.5000 0.5000
Se1 0.0000 0.0000 0.2703
Se2 0.0095 0.5048 0.2671
```

## Properties
Raw total energy in eV/f.u.: -84.61
Formation energy without anion corrections in eV per atom: -1.17
Crystal system: trigonal


10.
Material: ScPa3Tl3Se8
Method: DFT, PBE
State: optimized geometry

```
data_ScPa3Tl3Se8
_chemical_formula_sum 'Sc3 Pa9 Tl9 Se24'
_space_group_name_H-M_alt 'R -3 m'
_space_group_IT_number 166
_space_group_name_Hall '-R 3 2"'
_cell_length_a 8.1340
_cell_length_b 8.1340
_cell_length_c 24.1332
_cell_angle_alpha 90.00
_cell_angle_beta 90.00
_cell_angle_gamma 120.00
loop_
_atom_site_label
_atom_site_fract_x
_atom_site_fract_y
_atom_site_fract_z
Sc1 0.0000 0.0000 0.0000
Pa1 0.0000 0.5000 0.0000
Tl1 0.0000 0.5000 0.5000
Se1 0.0000 0.0000 0.2627
Se2 0.0120 0.5060 0.7331
```

## Properties
Raw total energy in eV/f.u.: -86.64
Formation energy without anion corrections in eV per atom: -1.12
Crystal system: trigonal


Among the records above, which one has the highest raw total energy? Sc2PaSe3


Among the records above, which one has the lowest formation energy without anion corrections? Sc3PaSe6


Which of these has the lowest raw total energy? ScPa3Tl3Se8


The lowest raw total energy belongs to which entry? ScPa3Tl3Se8